Entry from Alexandria: ReTcGe2Sb at its PBEsol-relaxed geometry (SCAN).

```
5
Lattice="4.631 0.000 0.000 0.000 4.631 0.000 0.000 0.000 5.174" Properties=species:S:1:pos:R:3 pbc="T T T"
Re 0.000 0.000 0.000
Tc 2.316 2.316 2.587
Ge 0.000 2.316 2.587
Ge 2.316 0.000 2.587
Sb 2.316 2.316 0.000
```

Space-group type: P4/mmm (123)
Energy relative to the elements, uncorrected: 1.325 eV/atom
Magnetic moment: 0.707 μB per atom
DOS at the Fermi energy: 2.7 states/eV/f.u.